--- P ---
A plane-wave DFT calculation with GGA-PBE was carried out for an optimized crystal structure of LaSnP2S. Values from VASP.

```
&SYSTEM
  ibrav = 0, nat = 5, ntyp = 4
/
ATOMIC_SPECIES
P 30.97 P.upf
S 32.06 S.upf
La 138.91 La.upf
Sn 118.71 Sn.upf
CELL_PARAMETERS angstrom
5.444 0.000 0.000
0.000 5.444 0.000
0.000 0.000 5.409
ATOMIC_POSITIONS angstrom
P 0.000 2.722 0.000
S 0.000 0.000 2.704
La 0.000 0.000 0.000
Sn 2.722 2.722 2.704
P 2.722 0.000 0.000
```

Calculated values
Space-group type: P4/mmm (123)
Crystal system: tetragonal
D(E_F): 1.203 states/eV/atom

--- Q ---
A plane-wave DFT calculation with GGA-PBE was carried out for an optimized crystal structure of LaSnP2S. Values from VASP.

```
&SYSTEM
  ibrav = 0, nat = 5, ntyp = 4
/
ATOMIC_SPECIES
Sn 118.71 Sn.upf
S 32.06 S.upf
La 138.91 La.upf
P 30.97 P.upf
CELL_PARAMETERS angstrom
4.977 0.000 0.000
0.000 4.977 0.000
0.000 0.000 5.066
ATOMIC_POSITIONS angstrom
Sn 0.000 0.000 0.000
S 0.000 0.000 2.533
La 2.489 2.489 2.533
P 2.489 0.000 0.000
P 0.000 2.489 0.000
```

Calculated values
Space-group type: P4/mmm (123)
Crystal system: tetragonal
D(E_F): 1.227 states/eV/atom

So which one is most stable? That would be Q, about 0.541 eV/atom below the next structure.